Entry 1:
# Zn3GaMo, optimized geometry, DFT GGA-PBE
# **Calculated volume**: 24.83 Å³/atom
# **E_tot**: -2.58 eV per atom
# **Energy relative to the lowest polymorph listed for this composition**: 0 meV per atom
# **E_form**: 960.9 meV per atom
data_Zn3GaMo
_space_group_name_H-M_alt 'P 1'
_space_group_IT_number 1
_cell_length_a 4.988
_cell_length_b 4.988
_cell_length_c 4.988
_cell_angle_alpha 90.00
_cell_angle_beta 90.00
_cell_angle_gamma 90.00
loop_
_space_group_symop_operation_xyz
'x,y,z'
loop_
_atom_site_label
_atom_site_fract_x
_atom_site_fract_y
_atom_site_fract_z
_atom_site_occupancy
Zn1 0.000 0.000 0.500 1
Zn2 0.000 0.500 0.000 1
Zn3 0.500 0.000 0.000 1
Ga1 0.500 0.500 0.500 1
Mo1 0.000 0.000 0.000 1

---

Entry 2:
# Th3ReC3, optimized geometry, DFT GGA-PBE
# **Calculated volume**: 18.51 Å³/atom
# **E_tot**: -9.21 eV per atom
# **E_form**: -298.1 meV per atom
data_Th3ReC3
_space_group_name_H-M_alt 'P 1'
_space_group_IT_number 1
_cell_length_a 6.997
_cell_length_b 6.997
_cell_length_c 5.371
_cell_angle_alpha 90.00
_cell_angle_beta 90.00
_cell_angle_gamma 99.76
loop_
_space_group_symop_operation_xyz
'x,y,z'
loop_
_atom_site_label
_atom_site_fract_x
_atom_site_fract_y
_atom_site_fract_z
_atom_site_occupancy
Th1 0.112 0.888 0.750 1
Th2 0.169 0.412 0.750 1
Th3 0.412 0.169 0.250 1
Th4 0.588 0.831 0.750 1
Th5 0.831 0.588 0.250 1
Th6 0.888 0.112 0.250 1
Re1 0.308 0.692 0.250 1
Re2 0.692 0.308 0.750 1
C1 0.122 0.878 0.250 1
C2 0.161 0.417 0.250 1
C3 0.417 0.161 0.750 1
C4 0.583 0.839 0.250 1
C5 0.839 0.583 0.750 1
C6 0.878 0.122 0.750 1

---

Entry 3:
# Y2ZrBi2N2, optimized geometry, DFT GGA-PBE
# **Calculated volume**: 21.52 Å³/atom
# **E_tot**: -7.52 eV per atom
data_Y2ZrBi2N2
_space_group_name_H-M_alt 'P 1'
_space_group_IT_number 1
_cell_length_a 8.821
_cell_length_b 8.821
_cell_length_c 8.821
_cell_angle_alpha 152.03
_cell_angle_beta 152.03
_cell_angle_gamma 39.97
loop_
_space_group_symop_operation_xyz
'x,y,z'
loop_
_atom_site_label
_atom_site_fract_x
_atom_site_fract_y
_atom_site_fract_z
_atom_site_occupancy
Y1 0.095 0.095 0.000 1
Y2 0.905 0.905 0.000 1
Zr1 0.500 0.500 0.000 1
Bi1 0.308 0.308 0.000 1
Bi2 0.692 0.692 0.000 1
N1 0.000 0.500 0.500 1
N2 0.500 0.000 0.500 1

---

Entry 4:
# EuYGaNi, optimized geometry, DFT GGA-PBE
# **Calculated volume**: 22.53 Å³/atom
# **E_tot**: -6.68 eV per atom
# **E_form**: -295.2 meV per atom
data_EuYGaNi
_space_group_name_H-M_alt 'P 1'
_space_group_IT_number 1
_cell_length_a 5.032
_cell_length_b 5.032
_cell_length_c 5.032
_cell_angle_alpha 60.00
_cell_angle_beta 60.00
_cell_angle_gamma 60.00
loop_
_space_group_symop_operation_xyz
'x,y,z'
loop_
_atom_site_label
_atom_site_fract_x
_atom_site_fract_y
_atom_site_fract_z
_atom_site_occupancy
Eu1 0.000 0.000 0.000 1
Y1 0.500 0.500 0.500 1
Ga1 0.750 0.750 0.750 1
Ni1 0.250 0.250 0.250 1

---

Entry 5:
# CsTl2SnI4, optimized geometry, DFT GGA-PBE
# **Calculated volume**: 46.89 Å³/atom
# **E_tot**: -2.62 eV per atom
data_CsTl2SnI4
_space_group_name_H-M_alt 'P 1'
_space_group_IT_number 1
_cell_length_a 8.812
_cell_length_b 8.809
_cell_length_c 7.230
_cell_angle_alpha 65.80
_cell_angle_beta 65.75
_cell_angle_gamma 48.45
loop_
_space_group_symop_operation_xyz
'x,y,z'
loop_
_atom_site_label
_atom_site_fract_x
_atom_site_fract_y
_atom_site_fract_z
_atom_site_occupancy
Cs1 0.000 0.000 0.000 1
Tl1 0.500 0.500 0.500 1
Tl2 0.750 0.750 0.750 1
Sn1 0.250 0.250 0.250 1
I1 0.020 0.020 0.480 1
I2 0.260 0.260 0.740 1
I3 0.480 0.480 0.020 1
I4 0.740 0.740 0.260 1

---

Entry 6:
# Pm2BiOs, optimized geometry, DFT GGA-PBE
# **Calculated volume**: 25.50 Å³/atom
# **E_tot**: -6.28 eV per atom
# **Energy relative to the lowest polymorph listed for this composition**: 241 meV per atom
# **E_form**: -125.5 meV per atom
data_Pm2BiOs
_space_group_name_H-M_alt 'P 1'
_space_group_IT_number 1
_cell_length_a 5.038
_cell_length_b 5.038
_cell_length_c 4.018
_cell_angle_alpha 90.00
_cell_angle_beta 90.00
_cell_angle_gamma 90.00
loop_
_space_group_symop_operation_xyz
'x,y,z'
loop_
_atom_site_label
_atom_site_fract_x
_atom_site_fract_y
_atom_site_fract_z
_atom_site_occupancy
Pm1 0.000 0.500 0.000 1
Pm2 0.500 0.000 0.000 1
Bi1 0.000 0.000 0.500 1
Os1 0.500 0.500 0.500 1

---

What is the calculated volume in the fourth record?
22.53 Å³/atom

---

calculated volume of number 4 (EuYGaNi)?
22.53 Å³/atom

---

What is the formula in the third record?
Y2ZrBi2N2

---

What is the E_tot in the sixth record?
-6.28 eV per atom